This record from Alexandria describes a relaxed structure of Pm2CdHg8. The functional is PBE-GGA. Values from VASP.

Cell and atoms, written as Quantum ESPRESSO input:
```
&SYSTEM
  ibrav = 0, nat = 11, ntyp = 3
/
ATOMIC_SPECIES
Pm 145.00 Pm.upf
Cd 112.41 Cd.upf
Hg 200.59 Hg.upf
ATOMIC_POSITIONS crystal
Pm 0.210 0.210 0.195
Pm 0.790 0.790 0.805
Cd 0.500 0.500 0.500
Hg 0.018 0.018 0.226
Hg 0.166 0.166 0.684
Hg 0.358 0.358 0.622
Hg 0.385 0.385 0.086
Hg 0.615 0.615 0.914
Hg 0.642 0.642 0.378
Hg 0.834 0.834 0.316
Hg 0.982 0.982 0.774
CELL_PARAMETERS angstrom
8.927 -2.437 0.000
8.927 2.437 0.000
-2.206 0.000 6.480
```



This record from Alexandria describes a relaxed structure of Pm4CdHg7. The functional is PBE-GGA. Values from VASP.

Cell and atoms, written as Quantum ESPRESSO input:
```
&SYSTEM
  ibrav = 0, nat = 12, ntyp = 3
/
ATOMIC_SPECIES
Pm 145.00 Pm.upf
Cd 112.41 Cd.upf
Hg 200.59 Hg.upf
ATOMIC_POSITIONS crystal
Pm 0.240 0.416 0.317
Pm 0.244 0.905 0.269
Pm 0.756 0.095 0.731
Pm 0.760 0.584 0.683
Cd 0.500 0.500 0.000
Hg 0.000 0.500 0.000
Hg 0.252 0.813 0.612
Hg 0.254 0.073 0.964
Hg 0.259 0.289 0.634
Hg 0.741 0.711 0.366
Hg 0.746 0.927 0.036
Hg 0.748 0.187 0.388
CELL_PARAMETERS angstrom
5.396 0.000 0.000
-0.101 7.485 0.000
-0.216 -3.124 8.032
```



This record from Alexandria describes a relaxed structure of PmCd4Hg. The functional is PBE-GGA. Values from VASP.

Cell and atoms, written as Quantum ESPRESSO input:
```
&SYSTEM
  ibrav = 0, nat = 6, ntyp = 3
/
ATOMIC_SPECIES
Pm 145.00 Pm.upf
Cd 112.41 Cd.upf
Hg 200.59 Hg.upf
ATOMIC_POSITIONS crystal
Pm 0.000 0.000 0.000
Cd 0.375 0.375 0.375
Cd 0.375 0.375 0.876
Cd 0.375 0.876 0.375
Cd 0.876 0.375 0.375
Hg 0.750 0.750 0.750
CELL_PARAMETERS angstrom
0.000 4.208 4.208
4.208 0.000 4.208
4.208 4.208 0.000
```



This record from Alexandria describes a relaxed structure of Pm6Cd5Hg. The functional is PBE-GGA. Values from VASP.

Cell and atoms, written as Quantum ESPRESSO input:
```
&SYSTEM
  ibrav = 0, nat = 12, ntyp = 3
/
ATOMIC_SPECIES
Pm 145.00 Pm.upf
Cd 112.41 Cd.upf
Hg 200.59 Hg.upf
ATOMIC_POSITIONS crystal
Pm 0.000 0.000 0.248
Pm 0.000 0.000 0.752
Pm 0.334 0.666 0.250
Pm 0.334 0.666 0.750
Pm 0.666 0.334 0.250
Pm 0.666 0.334 0.750
Cd 0.167 0.833 0.500
Cd 0.170 0.830 0.000
Cd 0.500 0.500 0.500
Cd 0.830 0.170 0.000
Cd 0.833 0.167 0.500
Hg 0.500 0.500 0.000
CELL_PARAMETERS angstrom
2.697 -8.097 0.000
2.697 8.097 0.000
0.000 0.000 7.703
```



no.,energy of formation (kJ per mole of atoms)
1,-23
2,-33
3,-9
4,-33